VASP calculation (SCAN) on Nd9Ni26P12 at its PBEsol-relaxed geometry.

a b c (Å): 14.1883 14.1883 3.8211
angles (deg): 90.00 90.00 120.00
Element x y z (fractional)
Nd: 0.0487 0.5243 0.0000
Nd: 0.0912 0.1824 0.5000
Nd: 0.0912 0.9088 0.5000
Nd: 0.4757 0.5243 0.0000
Nd: 0.4757 0.9513 0.0000
Nd: 0.4819 0.2409 0.0000
Nd: 0.7591 0.2409 0.0000
Nd: 0.7591 0.5181 0.0000
Nd: 0.8176 0.9088 0.5000
Ni: 0.0000 0.0000 0.0000
Ni: 0.1208 0.4090 0.5000
Ni: 0.1208 0.7118 0.5000
Ni: 0.2228 0.6114 0.5000
Ni: 0.2684 0.5368 0.0000
Ni: 0.2684 0.7316 0.0000
Ni: 0.2861 0.1430 0.5000
Ni: 0.2865 0.0060 0.0000
Ni: 0.2865 0.2805 0.0000
Ni: 0.2882 0.4090 0.5000
Ni: 0.2882 0.8792 0.5000
Ni: 0.3886 0.6114 0.5000
Ni: 0.3886 0.7772 0.5000
Ni: 0.4632 0.7316 0.0000
Ni: 0.5701 0.1403 0.5000
Ni: 0.5701 0.4299 0.5000
Ni: 0.5910 0.7118 0.5000
Ni: 0.5910 0.8792 0.5000
Ni: 0.6667 0.3333 0.5000
Ni: 0.7195 0.0060 0.0000
Ni: 0.7195 0.7135 0.0000
Ni: 0.8570 0.1430 0.5000
Ni: 0.8570 0.7139 0.5000
Ni: 0.8597 0.4299 0.5000
Ni: 0.9940 0.2805 0.0000
Ni: 0.9940 0.7135 0.0000
P: 0.1813 0.3625 0.0000
P: 0.1813 0.8187 0.0000
P: 0.1844 0.0922 0.0000
P: 0.3878 0.0578 0.5000
P: 0.3878 0.3299 0.5000
P: 0.6375 0.8187 0.0000
P: 0.6701 0.0578 0.5000
P: 0.6701 0.6122 0.5000
P: 0.9078 0.0922 0.0000
P: 0.9078 0.8156 0.0000
P: 0.9422 0.3299 0.5000
P: 0.9422 0.6122 0.5000

## Properties
**Formation enthalpy at 0 K**: -808 meV per atom